{"formula": "Cr2MoAsS", "functional": "GGA-PBE", "state": "optimized geometry", "cell": [[-1.204, -1.820, -4.262], [-3.155, -2.838, 2.104], [-3.362, 3.373, -0.491]], "species": ["As", "Mo", "S", "Cr", "Cr"], "fractional_positions": [[0.000, 0.500, 0.000], [0.000, 0.000, 0.000], [0.500, 0.500, 0.500], [0.000, 0.000, 0.500], [0.500, 0.000, 0.000]], "energy_ev_per_atom": -6.63, "spacegroup": "P4/mmm (123)"}